[1]
## CaLaPmDy (PBE)

Data for a relaxed structure of CaLaPmDy.

Computed properties:
As for the symmetry: P4mm. The value obtained for the total moment is 0.0 μB per formula unit. The total energy is -16.08 eV for the cell shown. The calculation puts the energy relative to the elements at 50 meV/atom. The value obtained for the density of states at the Fermi level is 1.582 states/eV/atom.

Lattice parameters (Å, degrees): 3.6770 3.6770 10.6338 90.00 90.00 90.00
Positions (direct):
La1 0.5000 0.5000 0.8043
Pm1 0.5000 0.5000 0.3378
Dy1 0.0000 0.0000 0.5659
Ca1 0.0000 0.0000 0.0767



[2]
## SrSn2Pd2 (PBE)

Data for a relaxed structure of SrSn2Pd2.

Computed properties:
As for the symmetry: P4/mbm. The value obtained for the total moment is 0.0 μB per formula unit. The total energy is -44.49 eV for the cell shown. The calculation puts the energy relative to the elements at -434 meV/atom. The value obtained for the density of states at the Fermi level is 0.688 states/eV/atom.

Lattice parameters (Å, degrees): 8.3107 8.3107 3.2458 90.00 90.00 90.00
Positions (direct):
Sr1 0.5000 0.5000 0.0000
Sr2 0.0000 0.0000 0.0000
Sn1 0.8650 0.6350 0.0000
Sn2 0.3650 0.8650 0.0000
Sn3 0.6350 0.1350 0.0000
Sn4 0.1350 0.3650 0.0000
Pd1 0.3454 0.1546 0.5000
Pd2 0.8454 0.3454 0.5000
Pd3 0.1546 0.6546 0.5000
Pd4 0.6546 0.8454 0.5000



[3]
## DyMgGa2 (PBE)

Data for a relaxed structure of DyMgGa2.

Computed properties:
As for the symmetry: P4/mmm. The value obtained for the total moment is 0.0 μB per formula unit. The total energy is -14.10 eV for the cell shown. The calculation puts the energy relative to the elements at -462 meV/atom. The value obtained for the density of states at the Fermi level is 0.451 states/eV/atom.

Lattice parameters (Å, degrees): 4.2048 4.4126 4.4126 90.00 90.00 90.00
Positions (direct):
Mg1 0.5000 0.0000 0.0000
Ga1 0.0000 0.5000 0.0000
Ga2 0.0000 0.0000 0.5000
Dy1 0.5000 0.5000 0.5000



[4]
## PuPaIrPt (PBE)

Data for a relaxed structure of PuPaIrPt.

Computed properties:
As for the symmetry: F-43m. The value obtained for the total moment is 4.6 μB per formula unit. The total energy is -41.82 eV for the cell shown. The calculation puts the energy relative to the elements at -772 meV/atom. The value obtained for the density of states at the Fermi level is 1.335 states/eV/atom.

Lattice parameters (Å, degrees): 4.7312 4.7312 4.7312 60.00 60.00 60.00
Last column: magnetic moment on the atom in μB.
Positions (direct):
Pt1 0.7500 0.7500 0.7500  -0.12
Pa1 0.2500 0.2500 0.2500  0.34
Ir1 0.0000 0.0000 0.0000  -0.22
Pu1 0.5000 0.5000 0.5000  4.60



[5]
## MgSn2Rh4 (PBE)

Data for a relaxed structure of MgSn2Rh4.

Computed properties:
As for the symmetry: I4/mmm. The value obtained for the total moment is 0.0 μB per formula unit. The total energy is -36.98 eV for the cell shown. The calculation puts the energy relative to the elements at 289 meV/atom. The value obtained for the density of states at the Fermi level is 0.312 states/eV/atom.

Lattice parameters (Å, degrees): 4.4487 4.4487 7.4168 72.55 72.55 90.00
Positions (direct):
Rh1 0.1825 0.1825 0.6350
Rh2 0.0000 0.5000 0.0000
Rh3 0.8175 0.8175 0.3650
Rh4 0.5000 0.0000 0.0000
Mg1 0.0000 0.0000 0.0000
Sn1 0.3716 0.3716 0.2568
Sn2 0.6284 0.6284 0.7432



[6]
## Tl4Ge3SbAu12 (PBE)

Data for a relaxed structure of Tl4Ge3SbAu12.

Computed properties:
The formation energy without anion corrections comes out at 120 meV per atom. As for the symmetry: Im-3m. The value obtained for the total moment is 0.0 μB per formula unit. The total energy is -64.37 eV for the cell shown. The value obtained for the density of states at the Fermi level is 0.368 states/eV/atom.

Lattice parameters (Å, degrees): 8.7992 8.7992 8.7992 109.47 109.47 109.47
Positions (direct):
Tl1 0.0000 0.0000 0.5000
Tl2 0.5000 0.5000 0.5000
Tl3 0.5000 0.0000 0.0000
Tl4 0.0000 0.5000 0.0000
Au1 0.7404 0.0000 0.7404
Au2 0.7500 0.5000 0.2500
Au3 0.0000 0.2596 0.2596
Au4 0.7500 0.2500 0.5000
Au5 0.2596 0.0000 0.2596
Au6 0.5000 0.2500 0.7500
Au7 0.2596 0.2596 0.0000
Au8 0.0000 0.7404 0.7404
Au9 0.5000 0.7500 0.2500
Au10 0.2500 0.7500 0.5000
Au11 0.2500 0.5000 0.7500
Au12 0.7404 0.7404 0.0000
Ge1 0.5000 0.5000 0.0000
Ge2 0.0000 0.5000 0.5000
Ge3 0.5000 0.0000 0.5000
Sb1 0.0000 0.0000 0.0000